<A>
# PBE-GGA Na2TlH, optimized geometry
data_Na2TlH
_space_group_name_H-M_alt 'I -4 2 d'
_space_group_IT_number 122
_space_group_name_Hall 'I -4 2bw'
_cell_length_a 6.644
_cell_length_b 6.644
_cell_length_c 8.682
_cell_angle_alpha 90.00
_cell_angle_beta 90.00
_cell_angle_gamma 90.00
loop_
_atom_site_label
_atom_site_type_symbol
_atom_site_fract_x
_atom_site_fract_y
_atom_site_fract_z
_atom_site_occupancy
Na1 Na 0.106 0.250 0.125 1
Tl1 Tl 0.000 0.000 0.500 1
H1 H 0.000 0.000 0.000 1
# V, Å³/atom: 23.95

=====

<B>
# PBE-GGA Na2TlH, optimized geometry
data_Na2TlH
_space_group_name_H-M_alt 'P 4/m m m'
_space_group_IT_number 123
_space_group_name_Hall '-P 4 2'
_cell_length_a 3.215
_cell_length_b 3.215
_cell_length_c 8.140
_cell_angle_alpha 90.00
_cell_angle_beta 90.00
_cell_angle_gamma 90.00
loop_
_atom_site_label
_atom_site_type_symbol
_atom_site_fract_x
_atom_site_fract_y
_atom_site_fract_z
_atom_site_occupancy
Na1 Na 0.000 0.000 0.182 1
Tl1 Tl 0.500 0.500 0.500 1
H1 H 0.500 0.500 0.000 1
# V, Å³/atom: 21.03

=====

Best to worst by energy: <B>, <A>.

=====

<A>
# PBE-GGA NaVH2, optimized geometry
data_NaVH2
_space_group_name_H-M_alt 'F m -3 m'
_space_group_IT_number 225
_space_group_name_Hall '-F 4 2 3'
_cell_length_a 5.563
_cell_length_b 5.563
_cell_length_c 5.563
_cell_angle_alpha 90.00
_cell_angle_beta 90.00
_cell_angle_gamma 90.00
loop_
_atom_site_label
_atom_site_type_symbol
_atom_site_fract_x
_atom_site_fract_y
_atom_site_fract_z
_atom_site_occupancy
Na1 Na 0.000 0.000 0.000 1
V1 V 0.000 0.000 0.500 1
H1 H 0.250 0.250 0.250 1
# V, Å³/atom: 10.76

=====

<B>
# PBE-GGA NaVH2, optimized geometry
data_NaVH2
_space_group_name_H-M_alt 'R -3 m'
_space_group_IT_number 166
_space_group_name_Hall '-R 3 2"'
_cell_length_a 2.8819
_cell_length_b 2.8819
_cell_length_c 16.5133
_cell_angle_alpha 90.00
_cell_angle_beta 90.00
_cell_angle_gamma 120.00
loop_
_atom_site_label
_atom_site_type_symbol
_atom_site_fract_x
_atom_site_fract_y
_atom_site_fract_z
_atom_site_occupancy
Na1 Na 0.0000 0.0000 0.0000 1
V1 V 0.0000 0.0000 0.5000 1
H1 H 0.0000 0.0000 0.2193 1
# V, Å³/atom: 9.90

=====

<C>
# PBE-GGA NaVH2, optimized geometry
data_NaVH2
_space_group_name_H-M_alt 'I -4 2 d'
_space_group_IT_number 122
_space_group_name_Hall 'I -4 2bw'
_cell_length_a 5.053
_cell_length_b 5.053
_cell_length_c 6.716
_cell_angle_alpha 90.00
_cell_angle_beta 90.00
_cell_angle_gamma 90.00
loop_
_atom_site_label
_atom_site_type_symbol
_atom_site_fract_x
_atom_site_fract_y
_atom_site_fract_z
_atom_site_occupancy
Na1 Na 0.000 0.000 0.000 1
V1 V 0.000 0.000 0.500 1
H1 H 0.178 0.250 0.625 1
# V, Å³/atom: 10.72

=====

Best to worst by energy: <B>, <C>, <A>.

=====

<A>
# PBE-GGA NaH2W, optimized geometry
data_NaH2W
_space_group_name_H-M_alt 'I -4 2 d'
_space_group_IT_number 122
_space_group_name_Hall 'I -4 2bw'
_cell_length_a 5.016
_cell_length_b 5.016
_cell_length_c 6.753
_cell_angle_alpha 90.00
_cell_angle_beta 90.00
_cell_angle_gamma 90.00
loop_
_atom_site_label
_atom_site_type_symbol
_atom_site_fract_x
_atom_site_fract_y
_atom_site_fract_z
_atom_site_occupancy
Na1 Na 0.000 0.000 0.000 1
H1 H 0.205 0.250 0.625 1
W1 W 0.000 0.000 0.500 1
# V, Å³/atom: 10.62

=====

<B>
# PBE-GGA NaH2W, optimized geometry
data_NaH2W
_space_group_name_H-M_alt 'F m -3 m'
_space_group_IT_number 225
_space_group_name_Hall '-F 4 2 3'
_cell_length_a 5.410
_cell_length_b 5.410
_cell_length_c 5.410
_cell_angle_alpha 90.00
_cell_angle_beta 90.00
_cell_angle_gamma 90.00
loop_
_atom_site_label
_atom_site_type_symbol
_atom_site_fract_x
_atom_site_fract_y
_atom_site_fract_z
_atom_site_occupancy
Na1 Na 0.000 0.000 0.000 1
H1 H 0.250 0.250 0.250 1
W1 W 0.000 0.000 0.500 1
# V, Å³/atom: 9.89

=====

Best to worst by energy: <A>, <B>.

=====

<A>
# PBE-GGA NaYH3, optimized geometry
data_NaYH3
_space_group_name_H-M_alt 'P m -3 m'
_space_group_IT_number 221
_space_group_name_Hall '-P 4 2 3'
_cell_length_a 4.238
_cell_length_b 4.238
_cell_length_c 4.238
_cell_angle_alpha 90.00
_cell_angle_beta 90.00
_cell_angle_gamma 90.00
loop_
_atom_site_label
_atom_site_type_symbol
_atom_site_fract_x
_atom_site_fract_y
_atom_site_fract_z
_atom_site_occupancy
Na1 Na 0.000 0.000 0.000 1
Y1 Y 0.500 0.500 0.500 1
H1 H 0.000 0.500 0.500 1
# V, Å³/atom: 15.22

=====

<B>
# PBE-GGA NaYH3, optimized geometry
data_NaYH3
_space_group_name_H-M_alt 'P m -3 m'
_space_group_IT_number 221
_space_group_name_Hall '-P 4 2 3'
_cell_length_a 3.944
_cell_length_b 3.944
_cell_length_c 3.944
_cell_angle_alpha 90.00
_cell_angle_beta 90.00
_cell_angle_gamma 90.00
loop_
_atom_site_label
_atom_site_type_symbol
_atom_site_fract_x
_atom_site_fract_y
_atom_site_fract_z
_atom_site_occupancy
Na1 Na 0.000 0.000 0.000 1
Y1 Y 0.500 0.500 0.500 1
H1 H 0.000 0.000 0.500 1
# V, Å³/atom: 12.27

=====

Best to worst by energy: <A>, <B>.

=====

<A>
# PBE-GGA NaYH2, optimized geometry
data_NaYH2
_space_group_name_H-M_alt 'I -4 2 d'
_space_group_IT_number 122
_space_group_name_Hall 'I -4 2bw'
_cell_length_a 5.219
_cell_length_b 5.219
_cell_length_c 11.234
_cell_angle_alpha 90.00
_cell_angle_beta 90.00
_cell_angle_gamma 90.00
loop_
_atom_site_label
_atom_site_type_symbol
_atom_site_fract_x
_atom_site_fract_y
_atom_site_fract_z
_atom_site_occupancy
Na1 Na 0.000 0.000 0.000 1
Y1 Y 0.000 0.000 0.500 1
H1 H 0.145 0.250 0.625 1
# V, Å³/atom: 19.12

=====

<B>
# PBE-GGA NaYH2, optimized geometry
data_NaYH2
_space_group_name_H-M_alt 'F m -3 m'
_space_group_IT_number 225
_space_group_name_Hall '-F 4 2 3'
_cell_length_a 5.990
_cell_length_b 5.990
_cell_length_c 5.990
_cell_angle_alpha 90.00
_cell_angle_beta 90.00
_cell_angle_gamma 90.00
loop_
_atom_site_label
_atom_site_type_symbol
_atom_site_fract_x
_atom_site_fract_y
_atom_site_fract_z
_atom_site_occupancy
Na1 Na 0.000 0.000 0.000 1
Y1 Y 0.000 0.000 0.500 1
H1 H 0.250 0.250 0.250 1
# V, Å³/atom: 13.43

=====

Best to worst by energy: <A>, <B>.

=====

<A>
# PBE-GGA NaZn2H2, optimized geometry
data_NaZn2H2
_space_group_name_H-M_alt 'P 4/m b m'
_space_group_IT_number 127
_space_group_name_Hall '-P 4 2ab'
_cell_length_a 6.714
_cell_length_b 6.714
_cell_length_c 3.030
_cell_angle_alpha 90.00
_cell_angle_beta 90.00
_cell_angle_gamma 90.00
loop_
_atom_site_label
_atom_site_type_symbol
_atom_site_fract_x
_atom_site_fract_y
_atom_site_fract_z
_atom_site_occupancy
Na1 Na 0.000 0.000 0.000 1
Zn1 Zn 0.131 0.369 0.500 1
H1 H 0.128 0.628 0.000 1
# V, Å³/atom: 13.65

=====

<B>
# PBE-GGA NaZn2H2, optimized geometry
data_NaZn2H2
_space_group_name_H-M_alt 'I 4/m m m'
_space_group_IT_number 139
_space_group_name_Hall '-I 4 2'
_cell_length_a 3.874
_cell_length_b 3.874
_cell_length_c 8.419
_cell_angle_alpha 90.00
_cell_angle_beta 90.00
_cell_angle_gamma 90.00
loop_
_atom_site_label
_atom_site_type_symbol
_atom_site_fract_x
_atom_site_fract_y
_atom_site_fract_z
_atom_site_occupancy
Na1 Na 0.000 0.000 0.000 1
Zn1 Zn 0.000 0.000 0.346 1
H1 H 0.000 0.500 0.250 1
# V, Å³/atom: 12.64

=====

Best to worst by energy: <B>, <A>.

=====

<A>
# PBE-GGA Na2ZnH2, optimized geometry
data_Na2ZnH2
_space_group_name_H-M_alt 'P 4/m b m'
_space_group_IT_number 127
_space_group_name_Hall '-P 4 2ab'
_cell_length_a 7.294
_cell_length_b 7.294
_cell_length_c 3.059
_cell_angle_alpha 90.00
_cell_angle_beta 90.00
_cell_angle_gamma 90.00
loop_
_atom_site_label
_atom_site_type_symbol
_atom_site_fract_x
_atom_site_fract_y
_atom_site_fract_z
_atom_site_occupancy
Na1 Na 0.139 0.361 0.000 1
Zn1 Zn 0.000 0.000 0.000 1
H1 H 0.146 0.646 0.500 1
# V, Å³/atom: 16.27

=====

<B>
# PBE-GGA Na2ZnH2, optimized geometry
data_Na2ZnH2
_space_group_name_H-M_alt 'P 4/m b m'
_space_group_IT_number 127
_space_group_name_Hall '-P 4 2ab'
_cell_length_a 6.769
_cell_length_b 6.769
_cell_length_c 3.057
_cell_angle_alpha 90.00
_cell_angle_beta 90.00
_cell_angle_gamma 90.00
loop_
_atom_site_label
_atom_site_type_symbol
_atom_site_fract_x
_atom_site_fract_y
_atom_site_fract_z
_atom_site_occupancy
Na1 Na 0.153 0.347 0.000 1
Zn1 Zn 0.000 0.000 0.500 1
H1 H 0.153 0.653 0.500 1
# V, Å³/atom: 14.01

=====

<C>
# PBE-GGA Na2ZnH2, optimized geometry
data_Na2ZnH2
_space_group_name_H-M_alt 'I 4/m m m'
_space_group_IT_number 139
_space_group_name_Hall '-I 4 2'
_cell_length_a 4.308
_cell_length_b 4.308
_cell_length_c 10.570
_cell_angle_alpha 90.00
_cell_angle_beta 90.00
_cell_angle_gamma 90.00
loop_
_atom_site_label
_atom_site_type_symbol
_atom_site_fract_x
_atom_site_fract_y
_atom_site_fract_z
_atom_site_occupancy
Na1 Na 0.000 0.000 0.193 1
Zn1 Zn 0.000 0.000 0.500 1
H1 H 0.000 0.500 0.250 1
# V, Å³/atom: 19.61

=====

Best to worst by energy: <B>, <C>, <A>.

=====

<A>
# PBE-GGA NaZnH2, optimized geometry
data_NaZnH2
_space_group_name_H-M_alt 'I -4 2 d'
_space_group_IT_number 122
_space_group_name_Hall 'I -4 2bw'
_cell_length_a 4.559
_cell_length_b 4.559
_cell_length_c 10.213
_cell_angle_alpha 90.00
_cell_angle_beta 90.00
_cell_angle_gamma 90.00
loop_
_atom_site_label
_atom_site_type_symbol
_atom_site_fract_x
_atom_site_fract_y
_atom_site_fract_z
_atom_site_occupancy
Na1 Na 0.000 0.000 0.000 1
Zn1 Zn 0.000 0.000 0.500 1
H1 H 0.137 0.250 0.625 1
# V, Å³/atom: 13.27

=====

<B>
# PBE-GGA NaZnH2, optimized geometry
data_NaZnH2
_space_group_name_H-M_alt 'F m -3 m'
_space_group_IT_number 225
_space_group_name_Hall '-F 4 2 3'
_cell_length_a 5.664
_cell_length_b 5.664
_cell_length_c 5.664
_cell_angle_alpha 90.00
_cell_angle_beta 90.00
_cell_angle_gamma 90.00
loop_
_atom_site_label
_atom_site_type_symbol
_atom_site_fract_x
_atom_site_fract_y
_atom_site_fract_z
_atom_site_occupancy
Na1 Na 0.000 0.000 0.000 1
Zn1 Zn 0.000 0.000 0.500 1
H1 H 0.250 0.250 0.250 1
# V, Å³/atom: 11.36

=====

Best to worst by energy: <A>, <B>.

=====

<A>
# PBE-GGA Na2ZnH4, optimized geometry
data_Na2ZnH4
_space_group_name_H-M_alt 'I 4/m m m'
_space_group_IT_number 139
_space_group_name_Hall '-I 4 2'
_cell_length_a 3.631
_cell_length_b 3.631
_cell_length_c 11.844
_cell_angle_alpha 90.00
_cell_angle_beta 90.00
_cell_angle_gamma 90.00
loop_
_atom_site_label
_atom_site_type_symbol
_atom_site_fract_x
_atom_site_fract_y
_atom_site_fract_z
_atom_site_occupancy
Na1 Na 0.000 0.000 0.145 1
Zn1 Zn 0.000 0.000 0.500 1
H1 H 0.000 0.000 0.342 1
H2 H 0.000 0.500 0.000 1
# V, Å³/atom: 11.15

=====

<B>
# PBE-GGA Na2ZnH4, optimized geometry
data_Na2ZnH4
_space_group_name_H-M_alt 'P 1 21/m 1'
_space_group_IT_number 11
_cell_length_a 5.326
_cell_length_b 5.395
_cell_length_c 6.599
_cell_angle_alpha 90.00
_cell_angle_beta 107.18
_cell_angle_gamma 90.00
loop_
_space_group_symop_operation_xyz
'x,y,z'
'-x,-y,-z'
'-x,y+1/2,-z'
'x,-y+1/2,z'
loop_
_atom_site_label
_atom_site_type_symbol
_atom_site_fract_x
_atom_site_fract_y
_atom_site_fract_z
_atom_site_occupancy
Na1 Na 0.203 0.250 0.032 1
Na2 Na 0.286 0.250 0.568 1
Zn1 Zn 0.233 0.750 0.795 1
H1 H 0.034 0.508 0.738 1
H2 H 0.384 0.750 0.053 1
H3 H 0.442 0.750 0.653 1
# V, Å³/atom: 12.94

=====

Best to worst by energy: <B>, <A>.

=====

<A>
# PBE-GGA NaZrH2, optimized geometry
data_NaZrH2
_space_group_name_H-M_alt 'F m -3 m'
_space_group_IT_number 225
_space_group_name_Hall '-F 4 2 3'
_cell_length_a 5.691
_cell_length_b 5.691
_cell_length_c 5.691
_cell_angle_alpha 90.00
_cell_angle_beta 90.00
_cell_angle_gamma 90.00
loop_
_atom_site_label
_atom_site_type_symbol
_atom_site_fract_x
_atom_site_fract_y
_atom_site_fract_z
_atom_site_occupancy
Na1 Na 0.000 0.000 0.000 1
Zr1 Zr 0.000 0.000 0.500 1
H1 H 0.250 0.250 0.250 1
# V, Å³/atom: 11.52

=====

<B>
# PBE-GGA NaZrH2, optimized geometry
data_NaZrH2
_space_group_name_H-M_alt 'I -4 2 d'
_space_group_IT_number 122
_space_group_name_Hall 'I -4 2bw'
_cell_length_a 5.080
_cell_length_b 5.080
_cell_length_c 9.331
_cell_angle_alpha 90.00
_cell_angle_beta 90.00
_cell_angle_gamma 90.00
loop_
_atom_site_label
_atom_site_type_symbol
_atom_site_fract_x
_atom_site_fract_y
_atom_site_fract_z
_atom_site_occupancy
Na1 Na 0.000 0.000 0.000 1
Zr1 Zr 0.000 0.000 0.500 1
H1 H 0.178 0.250 0.625 1
# V, Å³/atom: 15.05

=====

Best to worst by energy: <B>, <A>.

=====

<A>
# PBE-GGA NaZrH3, optimized geometry
data_NaZrH3
_space_group_name_H-M_alt 'P m -3 m'
_space_group_IT_number 221
_space_group_name_Hall '-P 4 2 3'
_cell_length_a 3.729
_cell_length_b 3.729
_cell_length_c 3.729
_cell_angle_alpha 90.00
_cell_angle_beta 90.00
_cell_angle_gamma 90.00
loop_
_atom_site_label
_atom_site_type_symbol
_atom_site_fract_x
_atom_site_fract_y
_atom_site_fract_z
_atom_site_occupancy
Na1 Na 0.000 0.000 0.000 1
Zr1 Zr 0.500 0.500 0.500 1
H1 H 0.000 0.000 0.500 1
# V, Å³/atom: 10.37

=====

<B>
# PBE-GGA NaZrH3, optimized geometry
data_NaZrH3
_space_group_name_H-M_alt 'P m -3 m'
_space_group_IT_number 221
_space_group_name_Hall '-P 4 2 3'
_cell_length_a 3.984
_cell_length_b 3.984
_cell_length_c 3.984
_cell_angle_alpha 90.00
_cell_angle_beta 90.00
_cell_angle_gamma 90.00
loop_
_atom_site_label
_atom_site_type_symbol
_atom_site_fract_x
_atom_site_fract_y
_atom_site_fract_z
_atom_site_occupancy
Na1 Na 0.000 0.000 0.000 1
Zr1 Zr 0.500 0.500 0.500 1
H1 H 0.000 0.500 0.500 1
# V, Å³/atom: 12.65

=====

Best to worst by energy: <B>, <A>.

=====

<A>
# PBE-GGA NaZr2H, optimized geometry
data_NaZr2H
_space_group_name_H-M_alt 'I -4 2 d'
_space_group_IT_number 122
_space_group_name_Hall 'I -4 2bw'
_cell_length_a 6.381
_cell_length_b 6.381
_cell_length_c 8.111
_cell_angle_alpha 90.00
_cell_angle_beta 90.00
_cell_angle_gamma 90.00
loop_
_atom_site_label
_atom_site_type_symbol
_atom_site_fract_x
_atom_site_fract_y
_atom_site_fract_z
_atom_site_occupancy
Na1 Na 0.000 0.000 0.000 1
Zr1 Zr 0.087 0.250 0.625 1
H1 H 0.000 0.000 0.500 1
# V, Å³/atom: 20.64

=====

<B>
# PBE-GGA NaZr2H, optimized geometry
data_NaZr2H
_space_group_name_H-M_alt 'F m -3 m'
_space_group_IT_number 225
_space_group_name_Hall '-F 4 2 3'
_cell_length_a 6.670
_cell_length_b 6.670
_cell_length_c 6.670
_cell_angle_alpha 90.00
_cell_angle_beta 90.00
_cell_angle_gamma 90.00
loop_
_atom_site_label
_atom_site_type_symbol
_atom_site_fract_x
_atom_site_fract_y
_atom_site_fract_z
_atom_site_occupancy
Na1 Na 0.000 0.000 0.000 1
Zr1 Zr 0.250 0.250 0.250 1
H1 H 0.000 0.000 0.500 1
# V, Å³/atom: 18.55

=====

<C>
# PBE-GGA NaZr2H, optimized geometry
data_NaZr2H
_space_group_name_H-M_alt 'R -3 m'
_space_group_IT_number 166
_space_group_name_Hall '-R 3 2"'
_cell_length_a 3.0865
_cell_length_b 3.0865
_cell_length_c 28.0587
_cell_angle_alpha 90.00
_cell_angle_beta 90.00
_cell_angle_gamma 120.00
loop_
_atom_site_label
_atom_site_type_symbol
_atom_site_fract_x
_atom_site_fract_y
_atom_site_fract_z
_atom_site_occupancy
Na1 Na 0.0000 0.0000 0.0000 1
Zr1 Zr 0.0000 0.0000 0.1160 1
H1 H 0.0000 0.0000 0.5000 1
# V, Å³/atom: 19.29

=====

Best to worst by energy: <C>, <A>, <B>.